Density functional theory data (PBE) for a relaxed structure of LaPrSe2.

For the raw formation energy, the calculation gives -1929 meV per atom.

The structure belongs to space group R-3m (No. 166, hexagonal axes); the cell edges are 4.2986, 4.2986 and 20.9182 Å and the angles 90.00°, 90.00° and 120.00°. Symmetry generates all atoms from La at (0.0000, 0.0000, 0.0000), Pr at (0.0000, 0.0000, 0.5000) and Se at (0.0000, 0.0000, 0.2494).

Density functional theory data (PBE) for a relaxed structure of La3Pr2Se8.

For the raw formation energy, the calculation gives -1757 meV per atom.

The structure belongs to space group C2/m (No. 12); the cell edges are 14.8620, 8.7125 and 7.3513 Å and the angles 90.00°, 110.51° and 90.00°. Symmetry generates all atoms from La at (0.0000, 0.0000, 0.0000), La at (0.0000, 0.2644, 0.5000), Pr at (0.2365, 0.5000, 0.1524), Se at (0.1184, 0.0000, 0.4356), Se at (0.1237, 0.5000, 0.4121) and Se at (0.1253, 0.2332, 0.9158).

> Which value of raw formation energy does entry 2 give?

-1757 meV per atom

Copy entry 1 word for word.
Density functional theory data (PBE) for a relaxed structure of LaPrSe2.

For the raw formation energy, the calculation gives -1929 meV per atom.

The structure belongs to space group R-3m (No. 166, hexagonal axes); the cell edges are 4.2986, 4.2986 and 20.9182 Å and the angles 90.00°, 90.00° and 120.00°. Symmetry generates all atoms from La at (0.0000, 0.0000, 0.0000), Pr at (0.0000, 0.0000, 0.5000) and Se at (0.0000, 0.0000, 0.2494).

> What is the raw formation energy in the second record?

-1757 meV per atom

> The highest raw formation energy belongs to which entry?

La3Pr2Se8